# 1
# RePPb

A relaxed RePPb crystal (PBE-GGA, Alexandria).

Cell lengths 4.245, 4.245, 7.034 Å; angles 90.00, 90.00, 90.00 degrees
Positions (direct):
Re1 0.250 0.750 0.000
Re2 0.750 0.250 0.000
P1 0.250 0.250 0.160
P2 0.750 0.750 0.840
Pb1 0.250 0.250 0.672
Pb2 0.750 0.750 0.328

raw total energy: -21.38 eV per formula unit

# 2
# Al2O3

A relaxed Al2O3 crystal (PBE-GGA, Alexandria).

Cell lengths 6.138, 6.138, 5.673 Å; angles 103.64, 103.64, 27.72 degrees
Positions (direct):
Al1 0.090 0.090 0.296
Al2 0.342 0.342 0.183
Al3 0.658 0.658 0.817
Al4 0.910 0.910 0.704
O1 0.160 0.160 0.609
O2 0.174 0.174 0.067
O3 0.495 0.495 0.757
O4 0.505 0.505 0.243
O5 0.826 0.826 0.933
O6 0.840 0.840 0.391

raw total energy: -37.36 eV per formula unit

# 3
# NdMgTe3Au

A relaxed NdMgTe3Au crystal (PBE-GGA, Alexandria).

Cell lengths 8.142, 4.208, 10.170 Å; angles 90.00, 99.95, 90.00 degrees
Positions (direct):
Nd1 0.198 0.250 0.283
Nd2 0.802 0.750 0.717
Mg1 0.337 0.750 0.845
Mg2 0.663 0.250 0.155
Te1 0.079 0.250 0.852
Te2 0.306 0.750 0.529
Te3 0.408 0.750 0.140
Te4 0.592 0.250 0.860
Te5 0.694 0.250 0.471
Te6 0.921 0.750 0.148
Au1 0.088 0.250 0.580
Au2 0.912 0.750 0.420

raw total energy: -24.35 eV per formula unit